Density functional theory data (GGA-PBE) for a relaxed structure of CaSi.

abc: 6.156 6.156 7.011
angles: 80.38 80.38 35.94
Element x y z (fractional)
1 Ca 0.373 0.373 0.365
2 Ca 0.595 0.595 0.680
3 Ca 0.672 0.672 0.121
4 Si 0.977 0.977 0.012
5 Si 0.870 0.870 0.717
6 Si 0.347 0.347 0.938

Formation energy without anion corrections   -0.236 eV per atom
DFT total energy   -3.95 eV per atom
V   153.5 Å³ per cell